Entry 1:
{
  "formula": "Sn3IrS",
  "functional": "PBE-GGA",
  "state": "optimized geometry",
  "total_magnetization_mub_per_fu": 0.00,
  "sg": "C2/c",
  "lattice_angstrom": [[-5.5828, 1.9208, -3.7355], [-0.8216, -2.7321, -6.3774], [-8.0591, -8.8668, 1.0921]],
  "species": ["Sn", "Sn", "Sn", "Sn", "Sn", "Sn", "Sn", "Sn", "Sn", "Sn", "Sn", "Sn", "Ir", "Ir", "Ir", "Ir", "S", "S", "S", "S"],
  "frac_coords": [[0.8302, 0.8319, 0.8367], [0.1681, 0.1698, 0.6633], [0.1698, 0.1681, 0.1633], [0.8319, 0.8302, 0.3367], [0.6499, 0.6485, 0.6552], [0.3515, 0.3501, 0.8448], [0.3501, 0.3515, 0.3448], [0.6485, 0.6499, 0.1552], [0.2352, 0.8582, 0.9533], [0.1418, 0.7648, 0.5467], [0.8582, 0.2352, 0.4533], [0.7648, 0.1418, 0.0467], [0.0000, 0.5000, 0.5000], [0.5000, 0.0000, 0.0000], [0.7583, 0.2417, 0.2500], [0.2417, 0.7583, 0.7500], [0.8819, 0.4075, 0.8506], [0.5925, 0.1181, 0.6494], [0.1181, 0.5925, 0.1494], [0.4075, 0.8819, 0.3506]]
}

=====

Entry 2:
{
  "formula": "Sn2Ir3S2",
  "functional": "PBE-GGA",
  "state": "optimized geometry",
  "total_magnetization_mub_per_fu": 0.00,
  "sg": "R-3m",
  "lattice_angstrom": [[4.9273, -0.0305, 2.6747], [1.5776, 4.6680, 2.6747], [-0.0429, -0.0305, 5.6063]],
  "species": ["Sn", "Sn", "Ir", "Ir", "Ir", "S", "S"],
  "frac_coords": [[0.5000, 0.5000, 0.5000], [0.0000, 0.0000, 0.0000], [0.0000, 0.0000, 0.5000], [0.0000, 0.5000, 0.0000], [0.5000, 0.0000, 0.0000], [0.7126, 0.7126, 0.7126], [0.2874, 0.2874, 0.2874]]
}

=====

Entry 3:
{
  "formula": "Sn3IrS",
  "functional": "PBE-GGA",
  "state": "optimized geometry",
  "total_magnetization_mub_per_fu": 0.00,
  "sg": "Pm-3m",
  "lattice_angstrom": [[5.1300, 0.0000, 0.0000], [0.0000, 5.1300, 0.0000], [0.0000, 0.0000, 5.1300]],
  "species": ["S", "Ir", "Sn", "Sn", "Sn"],
  "frac_coords": [[0.5000, 0.5000, 0.5000], [0.0000, 0.0000, 0.0000], [0.0000, 0.5000, 0.0000], [0.0000, 0.0000, 0.5000], [0.5000, 0.0000, 0.0000]]
}

=====

Entry 4:
{
  "formula": "Sn3IrS",
  "functional": "PBE-GGA",
  "state": "optimized geometry",
  "total_magnetization_mub_per_fu": 0.00,
  "sg": "Pm-3m",
  "lattice_angstrom": [[-4.7914, -1.1284, 1.1773], [0.8009, -4.8113, -1.3516], [1.4205, -1.0932, 4.7333]],
  "species": ["S", "Ir", "Sn", "Sn", "Sn"],
  "frac_coords": [[0.0000, 0.0000, 0.0000], [0.5000, 0.5000, 0.5000], [0.0000, 0.5000, 0.0000], [0.0000, 0.0000, 0.5000], [0.5000, 0.0000, 0.0000]]
}

=====

Entry 5:
{
  "formula": "SnIr3S",
  "functional": "PBE-GGA",
  "state": "optimized geometry",
  "total_magnetization_mub_per_fu": 0.00,
  "sg": "Pm-3m",
  "lattice_angstrom": [[4.4929, 0.0000, 0.0000], [0.0000, 4.4929, 0.0000], [0.0000, 0.0000, 4.4929]],
  "species": ["S", "Ir", "Ir", "Ir", "Sn"],
  "frac_coords": [[0.0000, 0.0000, 0.0000], [0.0000, 0.5000, 0.0000], [0.0000, 0.0000, 0.5000], [0.5000, 0.0000, 0.0000], [0.5000, 0.5000, 0.5000]]
}

=====

Entry 6:
{
  "formula": "SnIrS3",
  "functional": "PBE-GGA",
  "state": "optimized geometry",
  "total_magnetization_mub_per_fu": 3.33,
  "sg": "Pm-3m",
  "lattice_angstrom": [[4.9056, 0.0000, 0.0000], [0.0000, 4.9056, 0.0000], [0.0000, 0.0000, 4.9056]],
  "species": ["S", "S", "S", "Ir", "Sn"],
  "frac_coords": [[0.0000, 0.5000, 0.0000], [0.0000, 0.0000, 0.5000], [0.5000, 0.0000, 0.0000], [0.5000, 0.5000, 0.5000], [0.0000, 0.0000, 0.0000]]
}

=====

Entry 7:
{
  "formula": "SrIrS",
  "functional": "PBE-GGA",
  "state": "optimized geometry",
  "total_magnetization_mub_per_fu": 0.12,
  "sg": "Amm2",
  "lattice_angstrom": [[3.6346, 0.0000, 0.0000], [-1.8173, 4.0444, 0.0000], [0.0000, 0.0000, 10.2565]],
  "species": ["Ir", "Ir", "S", "S", "Sr", "Sr"],
  "frac_coords": [[0.9598, 0.9195, 0.0000], [0.0614, 0.1227, 0.5000], [0.5632, 0.1264, 0.3604], [0.5632, 0.1264, 0.6396], [0.2595, 0.5191, 0.8127], [0.2595, 0.5191, 0.1873]]
}

=====

Entry 8:
{
  "formula": "Sr6IrS",
  "functional": "PBE-GGA",
  "state": "optimized geometry",
  "total_magnetization_mub_per_fu": 0.00,
  "sg": "R-3",
  "lattice_angstrom": [[6.5916, 0.0059, 3.4321], [2.3853, 6.1310, 3.4521], [-0.1046, -0.0946, 8.2419]],
  "species": ["Sr", "Sr", "Sr", "Sr", "Sr", "Sr", "Ir", "S"],
  "frac_coords": [[0.0897, 0.4012, 0.7554], [0.7531, 0.0896, 0.7559], [0.5993, 0.2468, 0.2442], [0.2469, 0.9104, 0.2441], [0.9103, 0.5988, 0.2446], [0.4007, 0.7532, 0.7558], [0.0000, 0.0000, 0.0000], [0.5000, 0.5000, 0.5000]]
}

=====

Entry 9:
{
  "formula": "Sr2IrS",
  "functional": "PBE-GGA",
  "state": "optimized geometry",
  "total_magnetization_mub_per_fu": 0.00,
  "sg": "I-42d",
  "lattice_angstrom": [[-1.7181, 7.6247, -1.1669], [-4.6079, -1.9732, -6.1093], [-5.9027, 2.5388, -1.4790]],
  "species": ["Sr", "Sr", "Sr", "Sr", "S", "S", "Ir", "Ir"],
  "frac_coords": [[0.6214, 0.1250, 0.2500], [0.1286, 0.6250, 0.2500], [0.3750, 0.3786, 0.7500], [0.8750, 0.8714, 0.7500], [0.5000, 0.5000, 0.0000], [0.2500, 0.7500, 0.5000], [0.0000, 0.0000, 0.0000], [0.7500, 0.2500, 0.5000]]
}

=====

Entry 10:
{
  "formula": "Sr2TcIrS",
  "functional": "PBE-GGA",
  "state": "optimized geometry",
  "total_magnetization_mub_per_fu": 0.95,
  "sg": "P4/mmm",
  "lattice_angstrom": [[-0.6673, 4.5940, -3.4869], [2.1649, -2.1930, -3.3035], [-5.0520, -2.1590, -1.8776]],
  "species": ["Sr", "Sr", "S", "Ir", "Tc"],
  "frac_coords": [[0.0000, 0.0000, 0.5000], [0.5000, 0.0000, 0.0000], [0.5000, 0.5000, 0.5000], [0.0000, 0.5000, 0.0000], [0.0000, 0.0000, 0.0000]]
}

=====

Entry 11:
{
  "formula": "SrTeIrS2",
  "functional": "PBE-GGA",
  "state": "optimized geometry",
  "total_magnetization_mub_per_fu": 0.00,
  "sg": "P4/mmm",
  "lattice_angstrom": [[-4.0046, -2.1356, -1.1996], [2.9753, -4.1985, -2.4581], [0.0374, -2.3519, 4.0624]],
  "species": ["Sr", "S", "S", "Ir", "Te"],
  "frac_coords": [[0.5000, 0.5000, 0.5000], [0.0000, 0.0000, 0.5000], [0.5000, 0.0000, 0.0000], [0.0000, 0.0000, 0.0000], [0.0000, 0.5000, 0.0000]]
}

=====

Entry 12:
{
  "formula": "SrTiIr2S",
  "functional": "PBE-GGA",
  "state": "optimized geometry",
  "total_magnetization_mub_per_fu": 0.79,
  "sg": "P4/mmm",
  "lattice_angstrom": [[-4.1950, 0.3257, -2.5737], [-2.6632, -1.0098, 4.2132], [-0.2412, 4.8231, 1.0035]],
  "species": ["Sr", "S", "Ir", "Ir", "Ti"],
  "frac_coords": [[0.0000, 0.0000, 0.0000], [0.5000, 0.5000, 0.5000], [0.0000, 0.0000, 0.5000], [0.5000, 0.0000, 0.0000], [0.0000, 0.5000, 0.0000]]
}

=====

Entry 13:
{
  "formula": "Ta3IrS",
  "functional": "PBE-GGA",
  "state": "optimized geometry",
  "total_magnetization_mub_per_fu": 0.00,
  "sg": "Pm-3m",
  "lattice_angstrom": [[4.8688, 0.0000, 0.0000], [0.0000, 4.8688, 0.0000], [0.0000, 0.0000, 4.8688]],
  "species": ["S", "Ir", "Ta", "Ta", "Ta"],
  "frac_coords": [[0.5000, 0.5000, 0.5000], [0.0000, 0.0000, 0.0000], [0.0000, 0.5000, 0.0000], [0.0000, 0.0000, 0.5000], [0.5000, 0.0000, 0.0000]]
}

=====

Number 1: formation energy without anion corrections -324 meV/atom. Number 2: formation energy without anion corrections -260 meV/atom. Number 3: formation energy without anion corrections 45 meV/atom. Number 4: formation energy without anion corrections 908 meV/atom. Number 5: formation energy without anion corrections 719 meV/atom. Number 6: formation energy without anion corrections 1333 meV/atom. Number 7: formation energy without anion corrections -326 meV/atom. Number 8: formation energy without anion corrections -562 meV/atom. Number 9: formation energy without anion corrections -397 meV/atom. Number 10: formation energy without anion corrections 338 meV/atom. Number 11: formation energy without anion corrections -453 meV/atom. Number 12: formation energy without anion corrections 2545 meV/atom. Number 13: formation energy without anion corrections 1222 meV/atom.